[1]
Compound: InAgPO2
Source: the Alexandria database
Functional: GGA-PBEsol
Structure: optimized geometry

a = 3.9754 Å, b = 3.9754 Å, c = 4.8496 Å
α = 90.00°, β = 90.00°, γ = 90.00°
With the nearest neighbours (Å) after each atom.
Atoms (fractional coordinates):
In 0.0000 0.0000 0.0000  4 P 2.81, 8 O 3.14
Ag 0.5000 0.5000 0.5000  4 O 1.99
P 0.5000 0.5000 0.0000  2 Ag 2.42
O 0.0000 0.5000 0.5000  2 Ag 1.99
O 0.5000 0.0000 0.5000  2 Ag 1.99

Calculated values
Space-group type: No. 123
E (eV/atom): -4.21
Formation energy from raw total energies (meV/atom): 303

=====

[2]
Compound: In2Ag3P3O12
Source: the Alexandria database
Functional: GGA-PBEsol
Structure: optimized geometry

a = 8.9951 Å, b = 8.9951 Å, c = 6.6312 Å
α = 106.39°, β = 106.39°, γ = 91.41°
With the nearest neighbours (Å) after each atom.
Atoms (fractional coordinates):
In 0.0693 0.3814 0.1509  6 O 2.10-2.26
In 0.3814 0.0693 0.6509  6 O 2.10-2.26
In 0.6186 0.9307 0.3491  6 O 2.10-2.26
In 0.9307 0.6186 0.8491  6 O 2.10-2.26
Ag 0.0002 0.9998 0.2500  4 O 2.51
Ag 0.9998 0.0002 0.7500  4 O 2.51
Ag 0.2840 0.7160 0.7500  6 O 2.44-2.55
Ag 0.5000 0.5000 0.0000  6 O 2.37-2.60
Ag 0.5000 0.5000 0.5000  6 O 2.37-2.60
Ag 0.7160 0.2840 0.2500  6 O 2.44-2.55
P 0.1361 0.3400 0.6358  4 O 1.52-1.58
P 0.2738 0.7262 0.2500  4 O 1.55
P 0.3400 0.1361 0.1358  4 O 1.52-1.58
P 0.6600 0.8639 0.8642  4 O 1.52-1.58
P 0.7262 0.2738 0.7500  4 O 1.55
P 0.8639 0.6600 0.3642  4 O 1.52-1.58
O 0.0113 0.3367 0.4178  1 P 1.55
O 0.0647 0.4086 0.8279  1 P 1.57
O 0.1534 0.7468 0.0424  1 P 1.55
O 0.1625 0.1659 0.6256  1 P 1.58
O 0.1659 0.1625 0.1256  1 P 1.58
O 0.2532 0.8466 0.4576  1 P 1.55
O 0.2552 0.5607 0.2752  1 P 1.55
O 0.2890 0.4342 0.6698  1 P 1.52
O 0.3367 0.0113 0.9178  1 P 1.55
O 0.4086 0.0647 0.3279  1 P 1.57
O 0.4342 0.2890 0.1698  1 P 1.52
O 0.4393 0.7448 0.2248  1 P 1.55
O 0.5607 0.2552 0.7752  1 P 1.55
O 0.5658 0.7110 0.8302  1 P 1.52
O 0.5914 0.9353 0.6721  1 P 1.57
O 0.6633 0.9887 0.0822  1 P 1.55
O 0.7110 0.5658 0.3302  1 P 1.52
O 0.7448 0.4393 0.7248  1 P 1.55
O 0.7468 0.1534 0.5424  1 P 1.55
O 0.8341 0.8375 0.8744  1 P 1.58
O 0.8375 0.8341 0.3744  1 P 1.58
O 0.8466 0.2532 0.9576  1 P 1.55
O 0.9353 0.5914 0.1721  1 P 1.57
O 0.9887 0.6633 0.5822  1 P 1.55

Calculated values
Space-group type: No. 15
E (eV/atom): -6.44
Formation energy from raw total energies (meV/atom): -1624

=====

[3]
Compound: InAgW2O8
Source: the Alexandria database
Functional: GGA-PBEsol
Structure: optimized geometry

a = 10.1438 Å, b = 5.8454 Å, c = 5.0484 Å
α = 90.00°, β = 91.50°, γ = 90.00°
With the nearest neighbours (Å) after each atom.
Atoms (fractional coordinates):
In 0.0000 0.1845 0.2500  6 O 2.10-2.27
In 0.0000 0.8155 0.7500  6 O 2.10-2.27
Ag 0.5000 0.1786 0.2500  6 O 2.31-2.45
Ag 0.5000 0.8214 0.7500  6 O 2.31-2.45
W 0.2427 0.3265 0.7476  3 O 1.76-1.88
W 0.2427 0.6735 0.2476  3 O 1.76-1.88
W 0.7573 0.3265 0.7524  3 O 1.76-1.88
W 0.7573 0.6735 0.2524  3 O 1.76-1.88
O 0.1161 0.1225 0.6074  1 W 1.88
O 0.1161 0.8775 0.1074  1 W 1.88
O 0.1323 0.3985 0.0526  2 W 1.97-2.18, 1 In 2.10
O 0.1323 0.6015 0.5526  2 W 1.97-2.18, 1 In 2.10
O 0.3324 0.4022 0.4380  2 W 1.88-2.05
O 0.3324 0.5978 0.9380  2 W 1.88-2.05
O 0.3578 0.1354 0.8897  1 W 1.76
O 0.3578 0.8646 0.3897  1 W 1.76
O 0.6422 0.1354 0.6103  1 W 1.76
O 0.6422 0.8646 0.1103  1 W 1.76
O 0.6676 0.4022 0.0620  2 W 1.88-2.05
O 0.6676 0.5978 0.5620  2 W 1.88-2.05
O 0.8677 0.3985 0.4474  2 W 1.97-2.18, 1 In 2.10
O 0.8677 0.6015 0.9474  2 W 1.97-2.18, 1 In 2.10
O 0.8839 0.1225 0.8926  1 W 1.88
O 0.8839 0.8775 0.3926  1 W 1.88

Calculated values
Space-group type: No. 13
E (eV/atom): -8.09
Formation energy from raw total energies (meV/atom): -1761

=====

[4]
Compound: InAgOs2
Source: the Alexandria database
Functional: GGA-PBEsol
Structure: optimized geometry

a = 2.8219 Å, b = 4.7366 Å, c = 9.9146 Å
α = 90.00°, β = 90.00°, γ = 90.00°
With the nearest neighbours (Å) after each atom.
Atoms (fractional coordinates):
In 0.0000 0.0000 0.0000  6 Os 2.79-2.85, 2 In 2.82, 2 Ag 3.10
In 0.5000 0.5000 0.5000  6 Os 2.79-2.85, 2 In 2.82, 2 Ag 3.10
Ag 0.0000 0.5000 0.2211  6 Os 2.77-2.97, 2 Ag 2.82
Ag 0.5000 0.0000 0.7211  6 Os 2.77-2.97, 2 Ag 2.82
Os 0.0000 0.0000 0.4572  2 Os 2.50, 4 In 2.79
Os 0.0000 0.5000 0.7493  2 Os 2.50, 4 Ag 2.77
Os 0.5000 0.0000 0.2493  2 Os 2.50, 4 Ag 2.77
Os 0.5000 0.5000 0.9572  2 Os 2.50, 4 In 2.79

Calculated values
Space-group type: No. 44
E (eV/atom): -7.02
ΔH_f (0 K) (kJ/mol of formula units): 254.4

=====

[5]
Compound: In2AgOs
Source: the Alexandria database
Functional: GGA-PBEsol
Structure: optimized geometry

a = 3.1108 Å, b = 4.1281 Å, c = 5.6398 Å
α = 90.00°, β = 90.00°, γ = 90.00°
With the nearest neighbours (Å) after each atom.
Atoms (fractional coordinates):
In 0.0000 0.0000 0.0000  2 Os 2.80-2.84, 4 Ag 2.84, 2 In 3.11
In 0.5000 0.5000 0.3219  1 Ag 2.66, 4 Os 2.78
Ag 0.5000 0.5000 0.7933  5 In 2.66-2.84
Os 0.0000 0.0000 0.5038  6 In 2.78-2.84, 4 Ag 3.06, 2 Os 3.11

Calculated values
Space-group type: No. 25
E (eV/atom): -4.95
ΔH_f (0 K) (kJ/mol of formula units): 163.4

=====

[6]
Compound: InAgOs2
Source: the Alexandria database
Functional: GGA-PBEsol
Structure: optimized geometry

a = 2.8272 Å, b = 4.8338 Å, c = 9.6176 Å
α = 90.00°, β = 90.00°, γ = 90.00°
With the nearest neighbours (Å) after each atom.
Atoms (fractional coordinates):
In 0.0000 0.0000 0.0000  6 In 2.80-2.83, 2 Os 2.86, 2 Ag 2.92
In 0.5000 0.5000 0.0000  6 In 2.80-2.83, 2 Os 2.86, 2 Ag 2.92
Ag 0.0000 0.5000 0.7346  6 Ag 2.80-2.83, 2 Os 2.83, 2 In 2.92
Ag 0.5000 0.0000 0.7346  6 Ag 2.80-2.83, 2 Os 2.83, 2 In 2.92
Os 0.0000 0.0000 0.4798  8 Os 2.55-2.83, 2 Ag 2.83
Os 0.0000 0.5000 0.2588  8 Os 2.55-2.83
Os 0.5000 0.0000 0.2588  8 Os 2.55-2.83
Os 0.5000 0.5000 0.4798  8 Os 2.55-2.83, 2 Ag 2.83

Calculated values
Space-group type: No. 35
E (eV/atom): -7.04
ΔH_f (0 K) (kJ/mol of formula units): 248.7

=====

[7]
Compound: InAgOs2
Source: the Alexandria database
Functional: GGA-PBEsol
Structure: optimized geometry

a = 6.3309 Å, b = 6.3309 Å, c = 6.3309 Å
α = 90.00°, β = 90.00°, γ = 90.00°
With the nearest neighbours (Å) after each atom.
Atoms (fractional coordinates):
In 0.0000 0.0000 0.0000  4 Os 2.74, 4 Ag 2.74
In 0.0000 0.5000 0.5000  4 Os 2.74, 4 Ag 2.74
In 0.5000 0.0000 0.5000  4 Os 2.74, 4 Ag 2.74
In 0.5000 0.5000 0.0000  4 Os 2.74, 4 Ag 2.74
Ag 0.2500 0.2500 0.2500  4 In 2.74, 4 Os 2.74
Ag 0.2500 0.7500 0.7500  4 In 2.74, 4 Os 2.74
Ag 0.7500 0.2500 0.7500  4 In 2.74, 4 Os 2.74
Ag 0.7500 0.7500 0.2500  4 In 2.74, 4 Os 2.74
Os 0.0000 0.0000 0.5000  4 Os 2.74, 4 Ag 2.74
Os 0.0000 0.5000 0.0000  4 Os 2.74, 4 Ag 2.74
Os 0.2500 0.2500 0.7500  4 In 2.74, 4 Os 2.74
Os 0.2500 0.7500 0.2500  4 In 2.74, 4 Os 2.74
Os 0.5000 0.0000 0.0000  4 Os 2.74, 4 Ag 2.74
Os 0.5000 0.5000 0.5000  4 Os 2.74, 4 Ag 2.74
Os 0.7500 0.2500 0.2500  4 In 2.74, 4 Os 2.74
Os 0.7500 0.7500 0.7500  4 In 2.74, 4 Os 2.74

Calculated values
Space-group type: No. 216
E (eV/atom): -6.98
ΔH_f (0 K) (kJ/mol of formula units): 271.1

=====

[8]
Compound: InAgOs2
Source: the Alexandria database
Functional: GGA-PBEsol
Structure: optimized geometry

a = 2.8785 Å, b = 4.6486 Å, c = 9.5151 Å
α = 90.00°, β = 90.00°, γ = 90.00°
With the nearest neighbours (Å) after each atom.
Atoms (fractional coordinates):
In 0.0000 0.0000 0.0000  4 Ag 2.73, 4 Os 2.75, 2 In 2.88
In 0.5000 0.5000 0.5000  4 Ag 2.73, 4 Os 2.75, 2 In 2.88
Ag 0.0000 0.0000 0.5000  4 In 2.73, 4 Os 2.81, 2 Ag 2.88
Ag 0.5000 0.5000 0.0000  4 In 2.73, 4 Os 2.81, 2 Ag 2.88
Os 0.0000 0.5000 0.2537  6 Os 2.73-2.88, 2 In 2.75, 2 Ag 2.81
Os 0.0000 0.5000 0.7463  6 Os 2.73-2.88, 2 In 2.75, 2 Ag 2.81
Os 0.5000 0.0000 0.2463  6 Os 2.73-2.88, 2 In 2.75, 2 Ag 2.81
Os 0.5000 0.0000 0.7537  6 Os 2.73-2.88, 2 In 2.75, 2 Ag 2.81

Calculated values
Space-group type: No. 71
E (eV/atom): -7.01
ΔH_f (0 K) (kJ/mol of formula units): 257.6